No. 1
Computed, not measured: a relaxed BaTbAgTe3 crystal at the PBE level of DFT.

Properties
The calculation puts the raw formation energy at -1.258 eV/atom.

a b c (Å): 4.5283 9.2742 10.1818
angles (deg): 105.29 90.00 90.00
Last column: nearest neighbours and their distance in Å.
Fractional positions:
1 Ba 0.2500 0.1986 0.2506  7 Te 3.52-3.72, 1 Ag 3.86
2 Ba 0.7500 0.8014 0.7494  7 Te 3.52-3.72, 1 Ag 3.86
3 Tb 0.2500 0.6781 0.1605  6 Te 3.08-3.14
4 Tb 0.7500 0.3219 0.8395  6 Te 3.08-3.14
5 Ag 0.2500 0.0814 0.5871  4 Te 2.86-2.96, 2 Ag 3.02
6 Ag 0.7500 0.9186 0.4129  4 Te 2.86-2.96, 2 Ag 3.02
7 Te 0.7500 0.8975 0.1278  1 Ag 2.86, 2 Tb 3.12
8 Te 0.2500 0.1025 0.8722  1 Ag 2.86, 2 Tb 3.12
9 Te 0.2500 0.7528 0.4736  3 Ag 2.89-2.96, 1 Tb 3.08
10 Te 0.7500 0.2472 0.5264  3 Ag 2.89-2.96, 1 Tb 3.08
11 Te 0.7500 0.4456 0.1576  3 Tb 3.12-3.14
12 Te 0.2500 0.5544 0.8424  3 Tb 3.12-3.14

No. 2
Computed, not measured: a relaxed Ba2TbAgTe4 crystal at the PBE level of DFT.

Properties
The calculation puts the raw formation energy at -1.251 eV/atom.

a b c (Å): 4.6732 8.0876 8.2453
angles (deg): 69.54 90.00 90.00
Last column: nearest neighbours and their distance in Å.
Fractional positions:
1 Ba 0.0000 0.0000 0.0000  6 Te 3.47-3.58
2 Ba 0.5000 0.0000 0.5000  6 Te 3.43-3.49
3 Tb 0.0000 0.5000 0.5000  6 Te 3.14-3.15
4 Ag 0.5000 0.5000 0.0000  6 Te 3.13-3.30
5 Te 0.0000 0.7056 0.7619  2 Ag 3.13, 1 Tb 3.15, 2 Ba 3.49
6 Te 0.0000 0.2944 0.2381  2 Ag 3.13, 1 Tb 3.15, 2 Ba 3.49
7 Te 0.5000 0.7197 0.2696  2 Tb 3.14, 1 Ag 3.30, 3 Ba 3.43-3.47
8 Te 0.5000 0.2803 0.7304  2 Tb 3.14, 1 Ag 3.30, 3 Ba 3.43-3.47

No. 3
Computed, not measured: a relaxed BaTcAg crystal at the PBE level of DFT.

Properties
Its offset from the most stable computed form is 349 meV per atom. The formation energy comes out at 1.1301 eV/atom.

a b c (Å): 3.2467 3.2467 7.8371
angles (deg): 90.00 90.00 120.00
Last column: nearest neighbours and their distance in Å.
Fractional positions:
1 Ag 0.0000 0.0000 0.9633  3 Tc 2.87
2 Ba 0.6667 0.3333 0.3503  3 Tc 3.23, 6 Ba 3.25, 3 Ag 3.57
3 Tc 0.3333 0.6667 0.6864  3 Ag 2.87

No. 4
Computed, not measured: a relaxed BaTc4Ag crystal at the PBE level of DFT.

Properties
The formation energy comes out at 0.8517 eV/atom.

a b c (Å): 5.4371 5.4371 5.4371
angles (deg): 60.00 60.00 60.00
Last column: nearest neighbours and their distance in Å.
Fractional positions:
1 Ba 0.0000 0.0000 0.0000  12 Tc 3.19, 4 Ag 3.33
2 Tc 0.8738 0.3754 0.3754  6 Tc 2.71-2.73
3 Tc 0.3754 0.3754 0.8738  6 Tc 2.71-2.73
4 Tc 0.3754 0.8738 0.3754  6 Tc 2.71-2.73
5 Tc 0.3754 0.3754 0.3754  6 Tc 2.71-2.73
6 Ag 0.7500 0.7500 0.7500  12 Tc 3.19, 4 Ba 3.33

No. 5
Computed, not measured: a relaxed BaTcAg2 crystal at the PBE level of DFT.

Properties
Its offset from the most stable computed form is 264 meV per atom. The formation energy comes out at 0.7354 eV/atom.

a b c (Å): 4.5898 4.5898 4.4309
angles (deg): 90.00 90.00 90.00
Last column: nearest neighbours and their distance in Å.
Fractional positions:
1 Ag 0.0000 0.0000 0.0000  4 Ba 3.19, 4 Tc 3.19, 4 Ag 3.25
2 Ag 0.5000 0.5000 0.0000  4 Ba 3.19, 4 Tc 3.19, 4 Ag 3.25
3 Ba 0.5000 0.0000 0.5000  8 Ag 3.19, 4 Tc 3.25
4 Tc 0.0000 0.5000 0.5000  8 Ag 3.19, 4 Ba 3.25

No. 6
Computed, not measured: a relaxed BaTcAg2 crystal at the PBE level of DFT.

Properties
Its offset from the most stable computed form is 10 meV per atom. The formation energy comes out at 0.4806 eV/atom.

a b c (Å): 4.7152 4.7152 6.3344
angles (deg): 68.04 68.04 60.03
Last column: nearest neighbours and their distance in Å.
Fractional positions:
1 Ag 0.9898 0.9898 0.0306  3 Tc 2.73, 3 Ag 2.79-2.80
2 Ag 0.6935 0.6935 0.9201  3 Ag 2.79-2.80, 3 Tc 2.83
3 Ba 0.5018 0.5018 0.4942  1 Tc 3.20, 1 Ag 3.28
4 Tc 0.3149 0.3149 0.0551  6 Ag 2.73-2.83

No. 7
Computed, not measured: a relaxed BaTcAg2 crystal at the PBE level of DFT.

Properties
Its offset from the most stable computed form is 271 meV per atom. The formation energy comes out at 0.7415 eV/atom.

a b c (Å): 6.9143 5.4889 3.1009
angles (deg): 90.04 63.28 120.19
Last column: nearest neighbours and their distance in Å.
Fractional positions:
1 Ag 0.0000 0.0000 0.0000  4 Ag 3.09-3.10, 4 Ba 3.15, 4 Tc 3.15
2 Ag 0.5000 0.0000 0.5000  4 Ag 3.09-3.10, 4 Tc 3.15, 4 Ba 3.15
3 Ba 0.0000 0.5000 0.5000  2 Tc 3.09, 2 Ba 3.10, 8 Ag 3.15
4 Tc 0.5000 0.5000 0.0000  2 Ba 3.09, 2 Tc 3.10, 8 Ag 3.15

No. 8
Computed, not measured: a relaxed BaTcAg2 crystal at the PBE level of DFT.

Properties
Its offset from the most stable computed form is 277 meV per atom. The formation energy comes out at 0.7478 eV/atom.

a b c (Å): 5.6571 5.6571 5.6571
angles (deg): 132.83 132.83 68.91
Last column: nearest neighbours and their distance in Å.
Fractional positions:
1 Ag 0.0000 0.0000 0.0000  4 Ba 3.20, 4 Tc 3.25, 4 Ag 3.25
2 Ag 0.2500 0.7500 0.5000  4 Tc 3.20, 4 Ag 3.25, 4 Ba 3.25
3 Ba 0.5000 0.5000 0.0000  8 Ag 3.20-3.25, 4 Tc 3.25
4 Tc 0.7500 0.2500 0.5000  8 Ag 3.20-3.25, 4 Ba 3.25

No. 9
Computed, not measured: a relaxed BaTcAg2 crystal at the PBE level of DFT.

Properties
Its offset from the most stable computed form is 177 meV per atom. The formation energy comes out at 0.6479 eV/atom.

a b c (Å): 3.5161 3.5161 7.6964
angles (deg): 90.00 90.00 90.00
Last column: nearest neighbours and their distance in Å.
Fractional positions:
1 Ag 0.0000 0.0000 0.9932  4 Tc 2.85, 4 Ag 2.89
2 Ag 0.5000 0.5000 0.1841  1 Tc 2.87, 4 Ag 2.89
3 Ba 0.0000 0.0000 0.5116  4 Tc 3.39, 4 Ba 3.52, 5 Ag 3.54-3.71
4 Tc 0.5000 0.5000 0.8111  5 Ag 2.85-2.87

No. 10
Computed, not measured: a relaxed BaTcAg2 crystal at the PBE level of DFT.

Properties
Its offset from the most stable computed form is 254 meV per atom. The formation energy comes out at 0.7245 eV/atom.

a b c (Å): 6.0609 6.0609 6.0609
angles (deg): 146.64 128.08 63.13
Last column: nearest neighbours and their distance in Å.
Fractional positions:
1 Ag 0.0039 0.0039 0.0000  2 Tc 2.86, 2 Ag 2.92, 4 Ba 3.17
2 Ag 0.7768 0.2768 0.5000  2 Ag 2.92, 4 Tc 3.22
3 Ba 0.4960 0.4960 0.0000  8 Ag 3.17-3.49, 4 Tc 3.31-3.54, 2 Ba 3.48
4 Tc 0.2233 0.7233 0.5000  2 Ag 2.86

No. 11
Computed, not measured: a relaxed BaTcAg2 crystal at the PBE level of DFT.

Properties
Its offset from the most stable computed form is 339 meV per atom. The formation energy comes out at 0.8094 eV/atom.

a b c (Å): 5.1416 5.1416 5.1416
angles (deg): 60.00 60.00 60.00
Last column: nearest neighbours and their distance in Å.
Fractional positions:
1 Ag 0.0000 0.0000 0.0000  4 Ag 3.15, 4 Tc 3.15
2 Ag 0.2500 0.2500 0.2500  4 Ba 3.15, 4 Ag 3.15
3 Ba 0.5000 0.5000 0.5000  4 Tc 3.15, 4 Ag 3.15
4 Tc 0.7500 0.7500 0.7500  4 Ba 3.15, 4 Ag 3.15

No. 12
Computed, not measured: a relaxed BaTcAg2 crystal at the PBE level of DFT.

Properties
Its offset from the most stable computed form is 200 meV per atom. The formation energy comes out at 0.6710 eV/atom.

a b c (Å): 4.6629 2.9853 6.8138
angles (deg): 77.24 90.00 90.00
Last column: nearest neighbours and their distance in Å.
Fractional positions:
1 Ag 0.0000 0.2044 0.9640  4 Ag 2.82-2.99, 4 Tc 2.89-2.90, 1 Ba 3.11
2 Ag 0.5000 0.0866 0.2022  4 Ag 2.82-2.99, 2 Tc 2.85
3 Ba 0.0000 0.4397 0.4966  2 Ba 2.99, 1 Ag 3.11
4 Tc 0.5000 0.7692 0.8372  6 Ag 2.85-2.90, 2 Tc 2.99

No. 13
Computed, not measured: a relaxed BaTcAg2 crystal at the PBE level of DFT.

Properties
Its offset from the most stable computed form is 294 meV per atom. The formation energy comes out at 0.7653 eV/atom.

a b c (Å): 5.2359 5.2359 10.0708
angles (deg): 74.93 74.93 90.00
Last column: nearest neighbours and their distance in Å.
Fractional positions:
1 Ba 0.0000 0.0000 0.0000  8 Ag 3.63-3.87, 4 Tc 3.70
2 Ba 0.7500 0.2500 0.5000  8 Ag 3.63-3.87, 4 Tc 3.70
3 Ag 0.4086 0.1250 0.2500  2 Ag 2.64, 2 Tc 2.69
4 Ag 0.3414 0.6250 0.2500  2 Ag 2.64, 2 Tc 2.69
5 Ag 0.3750 0.5914 0.7500  2 Ag 2.64, 2 Tc 2.69
6 Ag 0.8750 0.6586 0.7500  2 Ag 2.64, 2 Tc 2.69
7 Tc 0.5000 0.5000 0.0000  4 Ag 2.69
8 Tc 0.2500 0.7500 0.5000  4 Ag 2.69

No. 14
Computed, not measured: a relaxed BaTcAg crystal at the PBE level of DFT.

Properties
Its offset from the most stable computed form is 47 meV per atom. The formation energy comes out at 0.8283 eV/atom.

a b c (Å): 6.2832 6.2832 6.2832
angles (deg): 151.63 140.69 49.19
Last column: nearest neighbours and their distance in Å.
Fractional positions:
1 Ag 0.0447 0.0447 0.0000  4 Tc 2.76, 2 Ag 3.08
2 Ba 0.3322 0.3322 0.0000  2 Ba 3.08, 1 Ag 3.28, 1 Tc 3.32
3 Tc 0.6231 0.6231 0.0000  4 Ag 2.76, 2 Tc 3.08